The following is a DFT calculation (PBE) of a relaxed PaZnAu2O8 crystal.

Calculated values
Formation energy without anion corrections ... -0.8350 eV per atom
Density ... 8.0 g cm⁻³

a b c (Å): 6.036 6.036 6.036
angles (deg): 109.55 109.55 109.31
Atoms (fractional coordinates):
Pa 0.000 0.000 0.000
Zn 0.250 0.750 0.500
Au 0.750 0.250 0.500
Au 0.500 0.500 0.000
O 0.345 0.022 0.323
O 0.276 0.457 0.181
O 0.276 0.095 0.819
O 0.699 0.022 0.677
O 0.905 0.724 0.181
O 0.978 0.301 0.323
O 0.978 0.655 0.677
O 0.543 0.724 0.819